Entry 1:
KReO2 | PBE | optimized geometry

## Properties
Space-group type   I4_1/amd (141)
D(E_F)   0.648 states/eV per atom
Formation energy from raw total energies   -787 meV/atom
Relative energy among the computed polymorphs   289 meV per atom

POSCAR file:
```
KReO2
1.0
3.047 6.667 -2.694
-3.460 6.153 3.341
3.231 -6.477 2.932
K O Re
4 8 4
Cartesian
-0.212 4.726 1.811
1.312 8.060 0.464
1.404 1.488 3.277
3.134 -1.588 1.607
1.709 4.292 3.433
-0.316 7.498 2.347
1.098 -1.316 3.121
-2.221 4.173 3.284
-0.251 1.752 5.202
1.797 5.280 0.338
-0.108 1.955 1.275
3.058 1.224 1.352
3.042 4.983 -1.206
2.927 4.821 1.930
1.518 1.650 0.141
4.657 1.745 0.260
```



Entry 2:
K2Re2O | PBE | optimized geometry

## Properties
Space-group type   P4/mmm (123)
D(E_F)   1.478 states/eV per atom
Formation energy from raw total energies   3143 meV/atom
Relative energy among the computed polymorphs   2364 meV per atom

POSCAR file:
```
K2Re2O
1.0
6.011 0.000 0.000
0.000 6.011 0.000
0.000 0.000 8.013
K Re O
2 2 1
Cartesian
0.000 0.000 4.007
0.000 0.000 0.000
3.006 0.000 0.000
0.000 3.006 0.000
3.006 3.006 4.007
```



Entry 3:
KReO2 | PBE | optimized geometry

## Properties
Space-group type   I-42d (122)
D(E_F)   0.436 states/eV per atom
Formation energy from raw total energies   -843 meV/atom
Relative energy among the computed polymorphs   232 meV per atom

POSCAR file:
```
KReO2
1.0
5.023 0.000 0.000
0.000 5.023 0.000
2.512 2.512 5.631
O Re K
4 2 2
Cartesian
6.279 2.047 4.224
5.488 3.767 1.408
4.558 1.256 1.408
3.767 2.976 4.224
5.023 2.512 2.816
0.000 0.000 0.000
2.512 5.023 2.816
2.512 2.512 0.000
```



Entry 4:
K2ReO5 | PBE | optimized geometry

## Properties
Space-group type   P1 (1)
Formation energy from raw total energies   -1614 meV/atom

POSCAR file:
```
K2ReO5
1.0
6.426 -0.374 0.459
-0.357 6.546 0.651
-2.714 -2.657 3.751
O Re K
5 1 2
Cartesian
-1.431 3.144 4.376
0.586 1.519 0.334
5.155 5.077 2.100
2.956 2.594 3.028
2.352 -1.848 3.648
3.293 3.337 4.611
0.430 3.415 2.285
3.290 0.147 2.000
```



Entry 5:
KReO2 | PBE | optimized geometry

## Properties
Space-group type   R-3m (166)
D(E_F)   0.186 states/eV per atom
Formation energy from raw total energies   -1076 meV/atom
Relative energy among the computed polymorphs   0 meV per atom

POSCAR file:
```
KReO2
1.0
0.282 -2.800 6.915
3.215 -3.150 5.956
2.270 -0.423 7.099
Re K O
1 1 2
Cartesian
0.000 0.000 0.000
2.884 -3.187 9.985
0.474 -0.523 1.640
5.294 -5.850 18.330
```



Entry 6:
KReO4 | PBE | optimized geometry

## Properties
Space-group type   I4_1/a (88)
D(E_F)   0.000 states/eV per atom
Formation energy from raw total energies   -1888 meV/atom

POSCAR file:
```
KReO4
1.0
-6.640 -2.402 3.017
0.003 -7.241 2.555
4.530 6.131 0.923
O Re K
8 2 2
Cartesian
-1.663 -3.454 4.796
3.482 1.797 2.045
-5.914 -3.825 3.747
2.782 -1.176 3.608
-3.295 -1.977 2.525
-0.963 -0.481 3.233
-3.437 -6.364 5.187
0.581 1.430 0.838
-2.714 -0.547 3.363
0.000 0.000 0.000
-3.318 -4.822 2.786
0.607 -2.966 3.132
```



Entry 7:
KRe3O | PBE | optimized geometry

## Properties
Space-group type   Pm-3m (221)
D(E_F)   1.698 states/eV per atom
Formation energy from raw total energies   4613 meV/atom
Relative energy among the computed polymorphs   3087 meV per atom

POSCAR file:
```
KRe3O
1.0
4.553 0.000 0.000
0.000 4.553 0.000
0.000 0.000 4.553
Re O K
3 1 1
Cartesian
2.277 0.000 0.000
0.000 2.277 0.000
0.000 0.000 2.277
2.277 2.277 2.277
0.000 0.000 0.000
```



Entry 8:
K2ReRhO | PBE | optimized geometry

## Properties
Space-group type   P4/mmm (123)
D(E_F)   0.776 states/eV per atom
Formation energy from raw total energies   802 meV/atom

POSCAR file:
```
K2ReRhO
1.0
-5.338 0.564 2.328
-1.529 -0.718 -3.331
-0.055 -5.714 1.258
Rh Re K O
1 1 2 1
Cartesian
-0.764 -0.359 -1.666
-3.461 -2.934 0.127
-0.027 -2.857 0.629
-2.669 0.282 1.164
0.000 0.000 0.000
```



Entry 9:
KReRhO6 | PBE | optimized geometry

## Properties
Space-group type   P312 (149)
D(E_F)   0.485 states/eV per atom
Formation energy from raw total energies   -1302 meV/atom

POSCAR file:
```
KReRhO6
1.0
5.316 0.000 0.000
2.658 4.603 0.000
0.000 0.000 5.893
O K Rh Re
6 1 1 1
Cartesian
3.750 2.836 1.881
4.331 1.829 4.012
6.300 1.829 1.881
4.734 4.541 4.011
5.897 4.541 1.881
6.881 2.836 4.011
5.316 0.000 5.893
2.658 1.534 2.947
5.316 3.069 2.946
```



Entry 10:
KReSbO2 | PBE | optimized geometry

## Properties
Space-group type   P4/mmm (123)
D(E_F)   0.616 states/eV per atom
Formation energy from raw total energies   509 meV/atom

POSCAR file:
```
KReSbO2
1.0
-2.712 -3.467 0.248
2.585 -2.310 -4.026
2.735 -1.934 2.866
O K Re Sb
2 1 1 1
Cartesian
-1.356 -1.733 0.124
1.368 -0.967 1.433
1.304 -3.856 -0.456
1.292 -1.155 -2.013
0.000 0.000 0.000
```



Entry 11:
KRe2SbO8 | PBE | optimized geometry

## Properties
Space-group type   P-3 (147)
D(E_F)   0.627 states/eV per atom
Formation energy from raw total energies   -1455 meV/atom

POSCAR file:
```
KRe2SbO8
1.0
5.883 0.000 0.000
-2.941 5.095 0.000
0.000 0.000 7.967
O Sb Re K
8 1 2 1
Cartesian
-1.460 4.258 5.583
4.401 0.837 2.384
1.476 4.230 5.583
-0.016 1.702 5.583
2.941 1.698 0.017
0.000 3.396 7.951
1.466 0.865 2.384
2.958 3.393 2.384
0.000 0.000 3.984
0.000 3.396 6.198
2.941 1.698 1.769
0.000 0.000 0.000
```



Entry 12:
K2ReSbO6 | PBE | optimized geometry

## Properties
Space-group type   I4/mmm (139)
D(E_F)   0.000 states/eV per atom
Formation energy from raw total energies   -1443 meV/atom

POSCAR file:
```
K2ReSbO6
1.0
5.578 0.000 0.001
0.000 5.578 0.001
2.790 2.790 5.493
Sb O K Re
1 6 2 1
Cartesian
0.000 0.000 0.000
2.789 2.789 3.603
4.284 6.877 5.494
4.281 4.284 5.492
4.084 1.491 0.001
5.579 5.579 1.892
4.087 4.084 0.003
5.579 2.789 2.747
2.789 5.579 2.747
2.789 2.789 0.001
```



Calculated magnetization (μB per atom), listed in the same order as above: 0.00 2.00 0.00 0.12 0.00 0.00 0.71 0.86 0.11 0.91 0.00 0.00
Calculated mass density (g/cm³), listed in the same order as above: 6.737 2.676 6.014 3.219 7.063 4.375 10.795 4.978 4.885 6.096 4.598 4.685
Calculated calculated volume (Å³ per cell), listed in the same order as above: 253.7 289.6 142.1 177.6 60.5 219.6 94.4 127.9 144.2 103.3 238.8 170.9